Compound: NaCuBiS3
Source: Alexandria
Functional: PBE
Structure: relaxed

```
12
Lattice="3.7365 0.0000 0.0000 -1.8683 6.5338 0.0000 0.0000 0.0000 10.7413" Properties=species:S:1:pos:R:3 pbc="T T T"
Na 0.0000 0.0000 5.3707
Na 0.0000 0.0000 0.0000
Bi 1.8683 3.2832 8.0560
Bi 0.0000 3.2506 2.6853
Cu 1.8683 0.4136 2.6853
Cu 0.0000 6.1201 8.0560
S 0.0000 4.4946 6.3782
S 0.0000 4.4946 9.7338
S 0.0000 0.9324 8.0560
S 1.8683 5.6013 2.6853
S 1.8683 2.0391 1.0075
S 1.8683 2.0391 4.3631
```

Output
magnetization = 0.00 Bohr magnetons per cell
formation energy without anion corrections = -0.412 eV per atom
SG = Cmcm
energy = -48.3 eV for the cell shown